Record 1
A relaxed structure of Na2IO6, computed with GGA-PBE.

Cell lengths 10.589, 5.889, 3.743 Å; angles 90.00, 100.94, 90.00 degrees
Space group C2/m (No. 12)
Asymmetric unit:
Na1 0.164 0.000 0.170
I1 0.000 0.500 0.500
O1 0.000 0.296 0.000
O2 0.135 0.281 0.648

Results
D(E_F)	2.91	states/eV/f.u.
crystal system	monoclinic
energy above the lowest structure with this stoichiometry	234	meV/atom


Record 2
A relaxed structure of Na4I2O, computed with GGA-PBE.

Cell lengths 4.649, 18.653, 4.612 Å; angles 90.00, 90.00, 90.00 degrees
Space group Cmmm (No. 65)
Asymmetric unit:
Na1 0.000 0.000 0.000
Na2 0.000 0.122 0.500
Na3 0.000 0.500 0.500
I1 0.000 0.362 0.000
O1 0.000 0.000 0.500

Results
D(E_F)	0.00	states/eV/f.u.
crystal system	orthorhombic


Record 3
A relaxed structure of Na3IO, computed with GGA-PBE.

Cell lengths 3.800, 8.863, 8.535 Å; angles 90.00, 90.00, 90.00 degrees
Space group Amm2 (No. 38)
Asymmetric unit:
Na1 0.000 0.000 0.000
Na2 0.500 0.148 0.303
I1 0.500 0.000 0.722
O1 0.000 0.000 0.253

Results
D(E_F)	0.00	states/eV/f.u.
crystal system	orthorhombic


Record 4
A relaxed structure of Na3IO, computed with GGA-PBE.

Cell lengths 4.635, 6.398, 9.797 Å; angles 92.79, 103.47, 111.12 degrees
Space group P1 (No. 1)
Asymmetric unit:
Na1 0.000 0.000 0.000
Na2 0.017 0.435 0.613
Na3 0.130 0.832 0.440
Na4 0.349 0.365 0.344
Na5 0.665 0.070 0.269
Na6 0.883 0.602 0.173
I1 0.241 0.532 0.955
I2 0.773 0.903 0.658
O1 0.108 0.988 0.235
O2 0.906 0.447 0.378

Results
D(E_F)	0.00	states/eV/f.u.
crystal system	triclinic


Record 5
A relaxed structure of NaI2O2, computed with GGA-PBE.

Cell lengths 4.924, 4.924, 4.300 Å; angles 90.00, 90.00, 90.00 degrees
Space group P4/mmm (No. 123)
Asymmetric unit:
Na1 0.000 0.000 0.000
I1 0.000 0.500 0.500
O1 0.500 0.500 0.000
O2 0.500 0.500 0.500

Results
D(E_F)	3.81	states/eV/f.u.
crystal system	tetragonal
energy above the lowest structure with this stoichiometry	633	meV/atom


Record 6
A relaxed structure of Na3IO, computed with GGA-PBE.

Cell lengths 7.117, 18.393, 5.667 Å; angles 90.00, 90.00, 90.00 degrees
Space group Cmcm (No. 63)
Asymmetric unit:
Na1 0.000 0.000 0.000
Na2 0.228 0.162 0.250
I1 0.000 0.318 0.250
O1 0.000 0.087 0.250

Results
D(E_F)	0.00	states/eV/f.u.
crystal system	orthorhombic


Table of M_tot (μB per formula unit), in record order: 0.000 0.117 0.000 0.000 0.598 0.000
Table of E_tot (eV for the cell shown), in record order: -72.4 -44.0 -31.3 -32.9 -13.1 -63.0